No. 1
This record from Alexandria via LeMat-Bulk describes a geometry-optimized SmMoBrO4 structure. The functional is PBEsol.

## Properties
- Raw total energy: -8.104 eV/atom
- Total moment: 0.00 μB per cell
- ΔE_f (raw): -56.0 kcal/mol of atoms
- SG: P-1, No. 2

Unit cell a=6.855 b=7.318 c=11.171 alpha=107.08 beta=107.12 gamma=91.72
Sites, in units of the cell vectors:
Sm1 0.100 0.359 0.231
Sm2 0.134 0.122 0.730
Sm3 0.866 0.878 0.270
Sm4 0.900 0.641 0.769
Mo1 0.239 0.818 0.134
Mo2 0.272 0.584 0.632
Mo3 0.728 0.416 0.368
Mo4 0.761 0.182 0.866
Br1 0.246 0.024 0.487
Br2 0.295 0.282 0.016
Br3 0.705 0.718 0.984
Br4 0.754 0.976 0.513
O1 0.117 0.027 0.185
O2 0.129 0.661 0.201
O3 0.161 0.794 0.699
O4 0.180 0.731 0.963
O5 0.182 0.501 0.459
O6 0.184 0.424 0.703
O7 0.461 0.375 0.317
O8 0.495 0.136 0.794
O9 0.505 0.864 0.206
O10 0.539 0.625 0.683
O11 0.816 0.576 0.297
O12 0.818 0.499 0.541
O13 0.820 0.269 0.037
O14 0.839 0.206 0.301
O15 0.871 0.339 0.799
O16 0.883 0.973 0.815


No. 2
This record from Alexandria via LeMat-Bulk describes a geometry-optimized TbMoBrO4 structure. The functional is PBEsol.

## Properties
- Raw total energy: -8.105 eV/atom
- Total moment: 0.00 μB per cell
- ΔE_f (raw): -56.3 kcal/mol of atoms
- SG: P-1, No. 2

Unit cell a=6.799 b=7.194 c=10.946 alpha=105.78 beta=107.43 gamma=92.66
Sites, in units of the cell vectors:
Tb1 0.106 0.349 0.232
Tb2 0.138 0.123 0.731
Tb3 0.862 0.877 0.269
Tb4 0.894 0.651 0.768
Mo1 0.235 0.812 0.134
Mo2 0.273 0.593 0.630
Mo3 0.727 0.407 0.370
Mo4 0.765 0.188 0.866
Br1 0.244 0.009 0.486
Br2 0.302 0.287 0.019
Br3 0.698 0.713 0.981
Br4 0.756 0.991 0.514
O1 0.111 0.020 0.183
O2 0.125 0.652 0.203
O3 0.155 0.797 0.702
O4 0.173 0.728 0.959
O5 0.174 0.506 0.454
O6 0.207 0.417 0.701
O7 0.458 0.354 0.323
O8 0.495 0.137 0.794
O9 0.505 0.863 0.206
O10 0.542 0.646 0.677
O11 0.793 0.583 0.299
O12 0.826 0.494 0.546
O13 0.827 0.272 0.041
O14 0.845 0.203 0.298
O15 0.875 0.348 0.797
O16 0.889 0.980 0.817


No. 3
This record from Alexandria via LeMat-Bulk describes a geometry-optimized MoOs2Br structure. The functional is PBEsol.

## Properties
- Raw total energy: -8.300 eV/atom
- Total moment: 0.00 μB per cell
- ΔE_f (raw): 28.1 kcal/mol of atoms
- SG: I4/mmm, No. 139

Unit cell a=3.958 b=3.958 c=7.777 alpha=90.00 beta=90.00 gamma=90.00
Sites, in units of the cell vectors:
Mo1 0.000 0.000 0.000
Mo2 0.500 0.500 0.500
Os1 0.000 0.500 0.250
Os2 0.000 0.500 0.750
Os3 0.500 0.000 0.250
Os4 0.500 0.000 0.750
Br1 0.000 0.000 0.500
Br2 0.500 0.500 0.000


No. 4
This record from Alexandria via LeMat-Bulk describes a geometry-optimized MoOs2Br structure. The functional is PBEsol.

## Properties
- Raw total energy: -8.352 eV/atom
- Total moment: 0.00 μB per cell
- ΔE_f (raw): 26.9 kcal/mol of atoms
- SG: Cmmm, No. 65

Unit cell a=5.793 b=7.384 c=2.849 alpha=90.00 beta=90.00 gamma=90.00
Sites, in units of the cell vectors:
Mo1 0.000 0.000 0.000
Mo2 0.500 0.500 0.000
Os1 0.250 0.250 0.500
Os2 0.250 0.750 0.500
Os3 0.750 0.250 0.500
Os4 0.750 0.750 0.500
Br1 0.000 0.500 0.000
Br2 0.500 0.000 0.000


No. 5
This record from Alexandria via LeMat-Bulk describes a geometry-optimized MoOs2Br structure. The functional is PBEsol.

## Properties
- Raw total energy: -8.873 eV/atom
- Total moment: 0.00 μB per cell
- ΔE_f (raw): 14.8 kcal/mol of atoms
- SG: R-3m, No. 166

Unit cell a=2.848 b=2.848 c=26.236 alpha=90.00 beta=90.00 gamma=120.00
Sites, in units of the cell vectors:
Mo1 0.000 0.000 0.000
Mo2 0.333 0.667 0.667
Mo3 0.667 0.333 0.333
Os1 0.000 0.000 0.253
Os2 0.000 0.000 0.747
Os3 0.333 0.667 0.414
Os4 0.333 0.667 0.920
Os5 0.667 0.333 0.080
Os6 0.667 0.333 0.586
Br1 0.000 0.000 0.500
Br2 0.333 0.667 0.167
Br3 0.667 0.333 0.833


No. 6
This record from Alexandria via LeMat-Bulk describes a geometry-optimized MoOs2Br structure. The functional is PBEsol.

## Properties
- Raw total energy: -8.268 eV/atom
- Total moment: 0.00 μB per cell
- ΔE_f (raw): 28.8 kcal/mol of atoms
- SG: P4/mmm, No. 123

Unit cell a=4.629 b=4.629 c=2.865 alpha=90.00 beta=90.00 gamma=90.00
Sites, in units of the cell vectors:
Mo1 0.000 0.000 0.000
Os1 0.000 0.500 0.500
Os2 0.500 0.000 0.500
Br1 0.500 0.500 0.000


No. 7
This record from Alexandria via LeMat-Bulk describes a geometry-optimized MoOs2Br structure. The functional is PBEsol.

## Properties
- Raw total energy: -8.430 eV/atom
- Total moment: 0.00 μB per cell
- ΔE_f (raw): 25.1 kcal/mol of atoms
- SG: C2/m, No. 12

Unit cell a=5.364 b=9.018 c=2.867 alpha=90.00 beta=118.43 gamma=90.00
Sites, in units of the cell vectors:
Mo1 0.000 0.000 0.000
Mo2 0.500 0.500 0.000
Os1 0.250 0.250 0.500
Os2 0.250 0.750 0.500
Os3 0.750 0.250 0.500
Os4 0.750 0.750 0.500
Br1 0.000 0.500 0.000
Br2 0.500 0.000 0.000


No. 8
This record from Alexandria via LeMat-Bulk describes a geometry-optimized MoOsSeBr2 structure. The functional is PBEsol.

## Properties
- Raw total energy: -4.853 eV/atom
- Total moment: 2.95 μB per cell
- ΔE_f (raw): 33.7 kcal/mol of atoms
- SG: P4/mmm, No. 123

Unit cell a=5.007 b=5.007 c=4.822 alpha=90.00 beta=90.00 gamma=90.00
Sites, in units of the cell vectors:
Mo1 0.000 0.000 0.000
Os1 0.500 0.500 0.500
Se1 0.000 0.000 0.500
Br1 0.000 0.500 0.000
Br2 0.500 0.000 0.000